Record 1
This record from the Alexandria database describes a relaxed MnCd2Pt crystal. The functional is GGA-PBE.

The space group is P4/mmm (No. 123) and the conventional cell measures 4.0581, 4.0581 and 4.3026 Å, with angles of 90.00, 90.00 and 90.00 degrees. The inequivalent atoms are Mn at (0.0000, 0.0000, 0.0000), Cd at (0.0000, 0.5000, 0.5000) and Pt at (0.5000, 0.5000, 0.0000).

For the formation energy, the calculation gives -74 meV/atom.

Record 2
This record from the Alexandria database describes a relaxed CeCd4Ga2 crystal. The functional is GGA-PBE.

The space group is Cmmm (No. 65) and the conventional cell measures 4.4244, 15.9342 and 4.3929 Å, with angles of 90.00, 90.00 and 90.00 degrees. The inequivalent atoms are Ce at (0.0000, 0.0000, 0.0000), Cd at (0.0000, 0.1774, 0.5000), Cd at (0.0000, 0.3172, 0.0000) and Ga at (0.0000, 0.4238, 0.5000).

For the formation energy, the calculation gives -233 meV/atom.

Record 3
This record from the Alexandria database describes a relaxed LiTa2Tl crystal. The functional is GGA-PBE.

The space group is Cmmm (No. 65) and the conventional cell measures 3.1851, 4.8255 and 10.3045 Å, with angles of 90.00, 90.00 and 90.00 degrees. The inequivalent atoms are Li at (0.0000, 0.0000, 0.0000), Ta at (0.0000, 0.5000, 0.2497) and Tl at (0.0000, 0.0000, 0.5000).

For the formation energy, the calculation gives 630 meV/atom.

Record 4
This record from the Alexandria database describes a relaxed CeSmGeRh crystal. The functional is GGA-PBE.

The space group is P4/nmm (No. 129, origin choice 2) and the conventional cell measures 4.5329, 4.5329 and 10.1660 Å, with angles of 90.00, 90.00 and 90.00 degrees. The inequivalent atoms are Ce at (0.2500, 0.7500, 0.0000), Sm at (0.2500, 0.2500, 0.3355), Ge at (0.2500, 0.2500, 0.6146) and Rh at (0.2500, 0.2500, 0.8486).

For the formation energy, the calculation gives -440 meV/atom. The value obtained for the polymorph energy (0 for the lowest one) is 163 meV/atom.